A geometry-optimized Li2Si3NiO8 structure. Source: the Alexandria database, functional PBE+U.

Summary:
E above lowest polymorph	0.8	kJ per mole of atoms
space-group type	P2_1, No. 4
density of states at the Fermi level	0.00	states/eV/f.u.
crystal system	monoclinic

Lattice parameters (Å, degrees): 9.9483 4.9770 6.9427 90.20 90.00 90.00
Positions (direct):
Ni 0.3306 0.9249 0.7553
Li 0.6523 0.5906 0.2480
Li 0.3639 0.9447 0.2527
O 0.1221 0.6548 0.4017
O 0.8977 0.9090 0.0015
Si 0.5875 0.0294 0.5308
O 0.4294 0.9700 0.5165
Li 0.8639 0.0553 0.7473
O 0.6662 0.8519 0.7040
Si 0.0875 0.9706 0.4692
O 0.8251 0.4552 0.8327
O 0.3251 0.5448 0.1673
O 0.3309 0.5301 0.7857
Si 0.1679 0.4610 0.2237
O 0.0692 0.4894 0.0294
O 0.9294 0.0300 0.4835
O 0.6221 0.3452 0.5983
Si 0.9059 0.5881 0.0279
Ni 0.8306 0.0751 0.2447
Si 0.6679 0.5390 0.7763
O 0.1662 0.1481 0.2960
Li 0.1523 0.4094 0.7520
O 0.3977 0.0910 0.9985
O 0.8309 0.4699 0.2143
O 0.1511 0.0328 0.6778
O 0.5692 0.5106 0.9706
O 0.6511 0.9672 0.3222
Si 0.4059 0.4119 0.9721